# 1
Computed, not measured: a PBEsol-optimized structure of YBe2Os at the SCAN level of DFT.

Cell: 3.159 4.520 8.056 Å, 90.00 90.00 90.00°
Space group Imm2 (No. 44)
Inequivalent atoms, fractional coordinates:
Y (0.000, 0.000, 0.000) x2
Be (0.000, 0.000, 0.490) x2
Be (0.000, 0.500, 0.789) x2
Os (0.000, 0.500, 0.211) x2

Results
- Size of the total moment: 0.00 μB per cell
- Energy: -215.37 eV for the cell shown


# 2
Computed, not measured: a PBEsol-optimized structure of BaIn2Hg2 at the SCAN level of DFT.

Cell: 4.733 4.733 12.431 Å, 90.00 90.00 90.00°
Space group I4/mmm (No. 139)
Inequivalent atoms, fractional coordinates:
Ba (0.000, 0.000, 0.000) x2
In (0.000, 0.500, 0.250) x4
Hg (0.000, 0.000, 0.387) x4

Results
- Size of the total moment: 0.00 μB per cell
- Energy: -490.56 eV for the cell shown


# 3
Computed, not measured: a PBEsol-optimized structure of RbLiHf2 at the SCAN level of DFT.

Cell: 4.077 4.077 25.371 Å, 90.00 90.00 90.00°
Space group I-42d (No. 122)
Inequivalent atoms, fractional coordinates:
Rb (0.000, 0.000, 0.000) x4
Li (0.000, 0.000, 0.500) x4
Hf (0.240, 0.750, 0.625) x8

Results
- Size of the total moment: 0.00 μB per cell
- Energy: -576.52 eV for the cell shown


# 4
Computed, not measured: a PBEsol-optimized structure of ZnInPb2 at the SCAN level of DFT.

Cell: 3.4039 3.4039 30.1779 Å, 90.00 90.00 120.00°
Space group R3m (No. 160, hexagonal axes)
Inequivalent atoms, fractional coordinates:
Zn (0.0000, 0.0000, 0.0000) x3
In (0.0000, 0.0000, 0.7359) x3
Pb (0.0000, 0.0000, 0.2585) x3
Pb (0.0000, 0.0000, 0.4915) x3

Results
- Size of the total moment: 0.00 μB per cell
- Energy: -594.02 eV for the cell shown


# 5
Computed, not measured: a PBEsol-optimized structure of CaGaCu at the SCAN level of DFT.

Cell: 9.961 4.373 7.111 Å, 90.00 132.64 90.00°
Space group C2/m (No. 12)
Inequivalent atoms, fractional coordinates:
Ca (0.058, 0.000, 0.311) x4
Ga (0.171, 0.500, 0.101) x4
Cu (0.161, 0.500, 0.727) x4

Results
- Size of the total moment: 0.00 μB per cell
- Energy: -169.63 eV for the cell shown


# 6
Computed, not measured: a PBEsol-optimized structure of BaLi4 at the SCAN level of DFT.

Cell: 10.606 10.606 10.606 Å, 90.00 90.00 90.00°
Space group I-43m (No. 217)
Inequivalent atoms, fractional coordinates:
Ba (0.219, 0.219, 0.219) x8
Li (0.000, 0.000, 0.361) x12
Li (0.000, 0.250, 0.500) x12
Li (0.097, 0.097, 0.903) x8

Results
- Size of the total moment: 0.24 μB per cell
- Energy: -390.60 eV for the cell shown


# 7
Computed, not measured: a PBEsol-optimized structure of KTaCd2 at the SCAN level of DFT.

Cell: 5.549 5.549 2.832 Å, 90.00 90.00 90.00°
Space group P4/mmm (No. 123)
Inequivalent atoms, fractional coordinates:
K (0.000, 0.000, 0.000) x1
Ta (0.500, 0.500, 0.000) x1
Cd (0.000, 0.500, 0.500) x2

Results
- Size of the total moment: 0.00 μB per cell
- Energy: -133.89 eV for the cell shown


# 8
Computed, not measured: a PBEsol-optimized structure of CaPSe2 at the SCAN level of DFT.

Cell: 3.711 5.132 8.657 Å, 90.00 90.00 90.00°
Space group Immm (No. 71)
Inequivalent atoms, fractional coordinates:
Ca (0.000, 0.000, 0.000) x2
P (0.000, 0.000, 0.500) x2
Se (0.000, 0.500, 0.197) x4

Results
- Energy relative to the elements, uncorrected: -0.67 eV per atom
- Size of the total moment: 0.00 μB per cell


Which value of size of the total moment does entry 7 give? 0.00 μB per cell


What is the size of the total moment in the fourth record? 0.00 μB per cell